Entry 1:
# ThTl5

Crystalline ThTl5 at its relaxed geometry (PBE, Alexandria).

Structure (POSCAR):
```
ThTl5
1.0
4.934 0.000 0.000
0.000 4.753 0.000
0.000 -2.376 7.400
Tl Th
5 1
Direct
0.500 0.165 0.330
0.500 0.835 0.670
0.000 0.669 0.339
0.500 0.500 0.000
0.000 0.331 0.661
0.000 0.000 0.000
```

Calculated values
Calculated formation energy in meV per atom: 2
Symmetry: Cmmm
Total moment in μB per formula unit: 0.00
N(E_F) in states/eV per cell: 4.05



Entry 2:
# Th3Tl

Crystalline Th3Tl at its relaxed geometry (PBE, Alexandria).

Structure (POSCAR):
```
Th3Tl
1.0
5.594 0.000 0.000
2.797 4.845 0.000
2.797 1.615 4.568
Th Tl
3 1
Direct
0.250 0.250 0.250
0.750 0.750 0.750
0.000 0.000 0.000
0.500 0.500 0.500
```

Calculated values
Calculated formation energy in meV per atom: 114
Symmetry: Fm-3m
Total moment in μB per formula unit: 0.00
N(E_F) in states/eV per cell: 6.63



Entry 3:
# Th2Tl3

Crystalline Th2Tl3 at its relaxed geometry (PBE, Alexandria).

Structure (POSCAR):
```
Th2Tl3
1.0
-2.012 3.116 1.902
-3.502 -2.261 0.001
4.226 -6.543 15.194
Tl Th
6 4
Direct
0.000 0.000 0.697
0.000 0.000 0.303
0.000 0.000 0.101
0.000 0.000 0.500
0.000 0.000 0.899
0.500 0.500 0.000
0.500 0.500 0.598
0.500 0.500 0.797
0.500 0.500 0.203
0.500 0.500 0.402
```

Calculated values
Calculated formation energy in meV per atom: -45
Symmetry: P4/mmm
Total moment in μB per formula unit: 0.00
Excess energy over the best structure of this formula in the dataset in meV per atom: 88.2
N(E_F) in states/eV per cell: 9.50



Copy entry 2 word for word.
# Th3Tl

Crystalline Th3Tl at its relaxed geometry (PBE, Alexandria).

Structure (POSCAR):
```
Th3Tl
1.0
5.594 0.000 0.000
2.797 4.845 0.000
2.797 1.615 4.568
Th Tl
3 1
Direct
0.250 0.250 0.250
0.750 0.750 0.750
0.000 0.000 0.000
0.500 0.500 0.500
```

Calculated values
Calculated formation energy in meV per atom: 114
Symmetry: Fm-3m
Total moment in μB per formula unit: 0.00
N(E_F) in states/eV per cell: 6.63